# 1
Entry from Alexandria: an optimized crystal structure of YTlSn2 (PBE).

Cell: 4.6868 4.6868 4.8433 Å, 90.00 90.00 90.00°
Atoms (fractional coordinates):
Y 0.0000 0.0000 0.0000
Tl 0.5000 0.5000 0.0000
Sn 0.0000 0.5000 0.5000
Sn 0.5000 0.0000 0.5000

Output
total energy = -18.36 eV per cell
DFT formation energy = -1.5 eV per formula unit
volume = 26.597 Å³/atom

# 2
Entry from Alexandria: an optimized crystal structure of CeDyZr (PBE).

Cell: 3.3309 3.3309 14.8237 Å, 90.00 90.00 90.00°
Atoms (fractional coordinates):
Ce 0.2500 0.2500 0.2337
Ce 0.7500 0.7500 0.7663
Dy 0.2500 0.2500 0.5897
Dy 0.7500 0.7500 0.4103
Zr 0.2500 0.2500 0.9269
Zr 0.7500 0.7500 0.0731

Output
total energy = -37.61 eV per cell
DFT formation energy = 0.3 eV per formula unit
volume = 27.411 Å³/atom

# 3
Entry from Alexandria: an optimized crystal structure of Sr2ScGePd6 (PBE).

Cell: 6.7094 6.7333 6.7658 Å, 60.58 60.88 60.97°
Atoms (fractional coordinates):
Sr 0.2022 0.2022 0.2033
Sr 0.7978 0.7978 0.7967
Sc 0.5000 0.5000 0.5000
Ge 0.0000 0.0000 0.0000
Pd 0.1663 0.6328 0.3171
Pd 0.3198 0.1642 0.6313
Pd 0.3658 0.6801 0.8349
Pd 0.6342 0.3199 0.1651
Pd 0.6802 0.8358 0.3687
Pd 0.8337 0.3672 0.6829

Output
total energy = -51.29 eV per cell
DFT formation energy = -5.8 eV per formula unit
volume = 22.006 Å³/atom

# 4
Entry from Alexandria: an optimized crystal structure of Ti4Si2Au5 (PBE).

Cell: 6.8689 3.2610 8.3110 Å, 90.00 95.03 90.00°
Atoms (fractional coordinates):
Ti 0.1953 0.0000 0.3560
Ti 0.2264 0.0000 0.9328
Ti 0.7736 0.0000 0.0672
Ti 0.8047 0.0000 0.6440
Si 0.0719 0.5000 0.1318
Si 0.9281 0.5000 0.8682
Au 0.1492 0.5000 0.6369
Au 0.4584 0.5000 0.1627
Au 0.5000 0.5000 0.5000
Au 0.5416 0.5000 0.8373
Au 0.8508 0.5000 0.3631

Output
total energy = -62.92 eV per cell
volume = 16.859 Å³/atom
ΔE_f (raw) = -374 meV per atom

What did the fourth record say?
Entry from Alexandria: an optimized crystal structure of Ti4Si2Au5 (PBE).

Cell: 6.8689 3.2610 8.3110 Å, 90.00 95.03 90.00°
Atoms (fractional coordinates):
Ti 0.1953 0.0000 0.3560
Ti 0.2264 0.0000 0.9328
Ti 0.7736 0.0000 0.0672
Ti 0.8047 0.0000 0.6440
Si 0.0719 0.5000 0.1318
Si 0.9281 0.5000 0.8682
Au 0.1492 0.5000 0.6369
Au 0.4584 0.5000 0.1627
Au 0.5000 0.5000 0.5000
Au 0.5416 0.5000 0.8373
Au 0.8508 0.5000 0.3631

Output
total energy = -62.92 eV per cell
volume = 16.859 Å³/atom
ΔE_f (raw) = -374 meV per atom

Q: Among the records above, which one has the lowest total energy?
A: Ti4Si2Au5